# InAg6Au4 | Alexandria via LeMat-Bulk | PBE | optimized geometry
data_InAg6Au4
_chemical_formula_sum 'In2 Ag12 Au8'
_cell_length_a 6.669
_cell_length_b 6.669
_cell_length_c 10.737
_cell_angle_alpha 90.00
_cell_angle_beta 90.00
_cell_angle_gamma 90.00
_space_group_name_H-M_alt 'I -4 2 m'
_space_group_IT_number 121
_space_group_name_Hall 'I -4 2'
loop_
_atom_site_label
_atom_site_type_symbol
_atom_site_fract_x
_atom_site_fract_y
_atom_site_fract_z
In1 In 0.000 0.000 0.000
Ag1 Ag 0.000 0.500 0.000
Ag2 Ag 0.152 0.152 0.608
Au1 Au 0.242 0.242 0.849
# E_tot in eV per atom: -2.817
# Crystal system: tetragonal

# InAg2Au | Alexandria via LeMat-Bulk | PBE | optimized geometry
data_InAg2Au
_chemical_formula_sum 'In4 Ag8 Au4'
_cell_length_a 6.723
_cell_length_b 6.723
_cell_length_c 6.723
_cell_angle_alpha 90.00
_cell_angle_beta 90.00
_cell_angle_gamma 90.00
_space_group_name_H-M_alt 'F -4 3 m'
_space_group_IT_number 216
_space_group_name_Hall 'F -4 2 3'
loop_
_atom_site_label
_atom_site_type_symbol
_atom_site_fract_x
_atom_site_fract_y
_atom_site_fract_z
In1 In 0.000 0.000 0.000
Ag1 Ag 0.000 0.000 0.500
Ag2 Ag 0.250 0.250 0.250
Au1 Au 0.250 0.250 0.750
# E_tot in eV per atom: -3.003
# Crystal system: cubic